# NaReBr2, optimized geometry, DFT PBE-GGA
# DOS(E_F)   2.1 states/eV/f.u.
# Formation energy from raw total energies   0.297 eV/atom
# Crystal system   trigonal
# ΔE to the lowest computed polymorph   0 meV/atom
data_NaReBr2
_space_group_name_H-M_alt 'R -3 m'
_space_group_IT_number 166
_space_group_name_Hall '-R 3 2"'
_cell_length_a 3.2989
_cell_length_b 3.2989
_cell_length_c 26.8880
_cell_angle_alpha 90.00
_cell_angle_beta 90.00
_cell_angle_gamma 120.00
loop_
_atom_site_label
_atom_site_fract_x
_atom_site_fract_y
_atom_site_fract_z
Na1 0.0000 0.0000 0.0000
Re1 0.0000 0.0000 0.5000
Br1 0.0000 0.0000 0.4093

***

# NaReBr5, optimized geometry, DFT PBE-GGA
# DOS(E_F)   0.1 states/eV/f.u.
# Formation energy from raw total energies   -0.529 eV/atom
# Crystal system   monoclinic
data_NaReBr5
_space_group_name_H-M_alt 'C 1 c 1'
_space_group_IT_number 9
_cell_length_a 11.761
_cell_length_b 8.415
_cell_length_c 9.706
_cell_angle_alpha 90.00
_cell_angle_beta 112.03
_cell_angle_gamma 90.00
loop_
_space_group_symop_operation_xyz
'x,y,z'
'x,-y,z+1/2'
'x+1/2,y+1/2,z'
'x+1/2,-y+1/2,z+1/2'
loop_
_atom_site_label
_atom_site_fract_x
_atom_site_fract_y
_atom_site_fract_z
Na1 0.000 0.019 0.000
Re1 0.499 0.000 0.251
Br1 0.082 0.230 0.727
Br2 0.213 0.400 0.381
Br3 0.286 0.101 0.120
Br4 0.416 0.269 0.774
Br5 0.499 0.113 0.501

***

# Na3ReBr, optimized geometry, DFT PBE-GGA
# DOS(E_F)   3.5 states/eV/f.u.
# Formation energy from raw total energies   0.767 eV/atom
# Crystal system   cubic
# ΔE to the lowest computed polymorph   0 meV/atom
data_Na3ReBr
_space_group_name_H-M_alt 'P m -3 m'
_space_group_IT_number 221
_space_group_name_Hall '-P 4 2 3'
_cell_length_a 5.463
_cell_length_b 5.463
_cell_length_c 5.463
_cell_angle_alpha 90.00
_cell_angle_beta 90.00
_cell_angle_gamma 90.00
loop_
_atom_site_label
_atom_site_fract_x
_atom_site_fract_y
_atom_site_fract_z
Na1 0.000 0.000 0.500
Re1 0.500 0.500 0.500
Br1 0.000 0.000 0.000

***

# Na3ReBr8, optimized geometry, DFT PBE-GGA
# DOS(E_F)   10.0 states/eV/f.u.
# Formation energy from raw total energies   -0.839 eV/atom
# Crystal system   orthorhombic
data_Na3ReBr8
_space_group_name_H-M_alt 'C 2 2 2'
_space_group_IT_number 21
_cell_length_a 7.688
_cell_length_b 12.010
_cell_length_c 8.822
_cell_angle_alpha 90.00
_cell_angle_beta 90.00
_cell_angle_gamma 90.00
loop_
_space_group_symop_operation_xyz
'x,y,z'
'-x,-y,z'
'x,-y,-z'
'-x,y,-z'
'x+1/2,y+1/2,z'
'-x+1/2,-y+1/2,z'
'x+1/2,-y+1/2,-z'
'-x+1/2,y+1/2,-z'
loop_
_atom_site_label
_atom_site_fract_x
_atom_site_fract_y
_atom_site_fract_z
Na1 0.000 0.000 0.000
Na2 0.250 0.250 0.762
Re1 0.000 0.000 0.500
Br1 0.000 0.209 0.500
Br2 0.000 0.238 0.000
Br3 0.233 0.001 0.701

***

# NaReBr2, optimized geometry, DFT PBE-GGA
# DOS(E_F)   3.8 states/eV/f.u.
# Formation energy from raw total energies   0.702 eV/atom
# Crystal system   cubic
# ΔE to the lowest computed polymorph   404 meV/atom
data_NaReBr2
_space_group_name_H-M_alt 'F m -3 m'
_space_group_IT_number 225
_space_group_name_Hall '-F 4 2 3'
_cell_length_a 6.723
_cell_length_b 6.723
_cell_length_c 6.723
_cell_angle_alpha 90.00
_cell_angle_beta 90.00
_cell_angle_gamma 90.00
loop_
_atom_site_label
_atom_site_fract_x
_atom_site_fract_y
_atom_site_fract_z
Na1 0.000 0.000 0.000
Re1 0.000 0.000 0.500
Br1 0.250 0.250 0.250

***

# NaReRhBr2, optimized geometry, DFT PBE-GGA
# DOS(E_F)   7.2 states/eV/f.u.
# Formation energy from raw total energies   1.552 eV/atom
# Crystal system   tetragonal
data_NaReRhBr2
_space_group_name_H-M_alt 'P 4/m m m'
_space_group_IT_number 123
_space_group_name_Hall '-P 4 2'
_cell_length_a 5.062
_cell_length_b 5.062
_cell_length_c 5.168
_cell_angle_alpha 90.00
_cell_angle_beta 90.00
_cell_angle_gamma 90.00
loop_
_atom_site_label
_atom_site_fract_x
_atom_site_fract_y
_atom_site_fract_z
Na1 0.000 0.000 0.000
Re1 0.500 0.500 0.500
Rh1 0.000 0.000 0.500
Br1 0.000 0.500 0.000

***

# NaReRuBr2, optimized geometry, DFT PBE-GGA
# DOS(E_F)   3.8 states/eV/f.u.
# Formation energy from raw total energies   0.750 eV/atom
# Crystal system   tetragonal
data_NaReRuBr2
_space_group_name_H-M_alt 'P 4/m m m'
_space_group_IT_number 123
_space_group_name_Hall '-P 4 2'
_cell_length_a 5.360
_cell_length_b 5.360
_cell_length_c 4.707
_cell_angle_alpha 90.00
_cell_angle_beta 90.00
_cell_angle_gamma 90.00
loop_
_atom_site_label
_atom_site_fract_x
_atom_site_fract_y
_atom_site_fract_z
Na1 0.000 0.000 0.000
Re1 0.500 0.500 0.000
Ru1 0.500 0.500 0.500
Br1 0.000 0.500 0.500

***

# NaScRe2Br, optimized geometry, DFT PBE-GGA
# DOS(E_F)   4.5 states/eV/f.u.
# Formation energy from raw total energies   1.855 eV/atom
# Crystal system   tetragonal
data_NaScRe2Br
_space_group_name_H-M_alt 'P 4/m m m'
_space_group_IT_number 123
_space_group_name_Hall '-P 4 2'
_cell_length_a 4.802
_cell_length_b 4.802
_cell_length_c 6.812
_cell_angle_alpha 90.00
_cell_angle_beta 90.00
_cell_angle_gamma 90.00
loop_
_atom_site_label
_atom_site_fract_x
_atom_site_fract_y
_atom_site_fract_z
Na1 0.000 0.000 0.000
Sc1 0.000 0.000 0.500
Re1 0.000 0.500 0.500
Br1 0.500 0.500 0.000

***

| no. | magnetization (μB/f.u.) |
| --- | --- |
| 1 | 0.00 |
| 2 | 3.00 |
| 3 | 3.54 |
| 4 | 2.77 |
| 5 | 0.00 |
| 6 | 6.07 |
| 7 | 2.90 |
| 8 | 4.85 |